The following is a GGA-PBE calculation of La2InPd6 after structural relaxation, from Alexandria.

```
data_La2InPd6
_cell_length_a 5.8339
_cell_length_b 5.8339
_cell_length_c 6.2666
_cell_angle_alpha 90.00
_cell_angle_beta 90.00
_cell_angle_gamma 120.00
_space_group_name_H-M_alt 'P -3 m 1'
_space_group_IT_number 164
_space_group_name_Hall '-P 3 2"'
loop_
_atom_site_label
_atom_site_fract_x
_atom_site_fract_y
_atom_site_fract_z
_atom_site_occupancy
La1 0.3333 0.6667 0.2089 1
In1 0.0000 0.0000 0.0000 1
Pd1 0.1734 0.3469 0.6770 1
```

Output
crystal system	trigonal
energy of formation from the pure elements	-0.746	eV/atom
E	-5.607	eV/atom
N(E_F)	2.04	states/eV per cell